! Tl2Cr3O12 | Alexandria via LeMat-Bulk | PBE with a Hubbard U | optimized geometry; values from VASP
! Volume = 15.60 A^3/atom
! Total energy = -6.070 eV per atom
&SYSTEM
  ibrav = 0, nat = 68, ntyp = 3
/
ATOMIC_SPECIES
Tl 204.38 Tl.upf
Cr 52.00 Cr.upf
O 16.00 O.upf
CELL_PARAMETERS angstrom
13.1578 0.0000 0.0000
0.0000 8.9859 0.0000
0.0000 0.0000 8.9739
ATOMIC_POSITIONS angstrom
Tl 1.2178 2.2097 0.9232
Tl 1.2178 6.7762 5.4102
Tl 5.3611 2.2833 5.4102
Tl 5.3611 6.7027 0.9232
Tl 7.7967 2.2833 8.0507
Tl 7.7967 6.7027 3.5637
Tl 11.9401 2.2097 3.5637
Tl 11.9401 6.7762 8.0507
Cr 0.0000 3.5712 6.7304
Cr 0.0000 5.4148 2.2435
Cr 2.2191 1.0293 4.1858
Cr 2.2191 7.9566 8.6728
Cr 4.3598 3.4637 8.6728
Cr 4.3598 5.5223 4.1858
Cr 6.5789 0.9218 2.2435
Cr 6.5789 8.0641 6.7304
Cr 8.7980 3.4637 4.7881
Cr 8.7980 5.5223 0.3011
Cr 10.9387 1.0293 0.3011
Cr 10.9387 7.9566 4.7881
O 0.9147 2.5773 7.7214
O 0.9147 6.4086 3.2345
O 0.9946 4.4550 1.3265
O 0.9946 4.5310 5.8134
O 1.0983 1.9585 3.1933
O 1.0983 7.0274 7.6802
O 1.3420 0.0250 5.1948
O 1.3420 8.9610 0.7079
O 3.1540 0.1604 3.2379
O 3.1547 2.0538 5.1327
O 3.1547 6.9321 0.6458
O 3.1540 8.8256 7.7249
O 3.4242 2.4391 0.6458
O 3.4249 4.3326 7.7249
O 3.4249 4.6534 3.2379
O 3.4242 6.5468 5.1327
O 5.2370 4.4680 0.7079
O 5.2370 4.5179 5.1948
O 5.4806 2.5344 7.6802
O 5.4806 6.4515 3.1933
O 5.5843 0.0380 5.8134
O 5.5843 8.9480 1.3265
O 5.6642 1.9156 3.2345
O 5.6642 7.0703 7.7214
O 7.4936 1.9156 1.2525
O 7.4936 7.0703 5.7394
O 7.5735 0.0380 7.6474
O 7.5735 8.9480 3.1605
O 7.6772 2.5344 5.7806
O 7.6772 6.4515 1.2937
O 7.9209 4.4680 3.7791
O 7.9209 4.5179 8.2660
O 9.7336 2.4391 3.8412
O 9.7329 4.3326 5.7360
O 9.7329 4.6534 1.2490
O 9.7336 6.5468 8.3281
O 10.0038 0.1604 1.2490
O 10.0031 2.0538 8.3281
O 10.0031 6.9321 3.8412
O 10.0038 8.8256 5.7360
O 11.8159 0.0250 8.2660
O 11.8159 8.9610 3.7791
O 12.0595 1.9585 1.2937
O 12.0595 7.0274 5.7806
O 12.1632 4.4550 3.1605
O 12.1632 4.5310 7.6474
O 12.2431 2.5773 5.7394
O 12.2431 6.4086 1.2525